[1]
Below is a relaxed structure of Zr2IrC, with properties calculated at the PBE-GGA level.

Calculated values
- Total energy: -34.2 eV per cell
- Formation energy: 246 meV per atom
- Energy above the most stable polymorph in this dataset: 408 meV per atom

a = 4.520 Å, b = 4.520 Å, c = 4.520 Å
α = 60.00°, β = 60.00°, γ = 60.00°
Positions (direct):
Zr 0.250 0.250 0.250
Zr 0.750 0.750 0.750
Ir 0.000 0.000 0.000
C 0.500 0.500 0.500

***

[2]
Below is a relaxed structure of LiNd3Pu2Se6, with properties calculated at the PBE-GGA level.

Calculated values
- Formation energy without anion corrections: -1680.2 meV/atom
- Total energy: -86.0 eV per cell

a = 7.227 Å, b = 7.227 Å, c = 7.239 Å
α = 99.60°, β = 99.60°, γ = 120.03°
Positions (direct):
Li 0.000 0.000 0.000
Nd 0.168 0.832 0.500
Nd 0.500 0.500 0.500
Nd 0.832 0.168 0.500
Pu 0.334 0.666 0.000
Pu 0.666 0.334 0.000
Se 0.080 0.407 0.239
Se 0.247 0.247 0.760
Se 0.407 0.080 0.239
Se 0.593 0.920 0.761
Se 0.753 0.753 0.240
Se 0.920 0.593 0.761

***

[3]
Below is a relaxed structure of Al3SiS, with properties calculated at the PBE-GGA level.

Calculated values
- Formation energy without anion corrections: 498.1 meV/atom
- Total energy: -18.3 eV per cell
- Energy above the most stable polymorph in this dataset: 0 meV per atom

a = 4.794 Å, b = 4.794 Å, c = 4.794 Å
α = 90.00°, β = 90.00°, γ = 90.00°
Positions (direct):
Al 0.000 0.000 0.500
Al 0.000 0.500 0.000
Al 0.500 0.000 0.000
Si 0.000 0.000 0.000
S 0.500 0.500 0.500

***

[4]
Below is a relaxed structure of Ga5Sn12Hg3, with properties calculated at the PBE-GGA level.

Calculated values
- Total energy: -243.5 eV per cell
- Formation energy: 159 meV per atom

a = 14.538 Å, b = 14.538 Å, c = 14.538 Å
α = 109.47°, β = 109.47°, γ = 109.47°
Positions (direct):
Ga 0.000 0.000 0.000
Ga 0.000 0.000 0.500
Ga 0.000 0.500 0.000
Ga 0.000 0.500 0.500
Ga 0.125 0.750 0.875
Ga 0.125 0.875 0.250
Ga 0.250 0.125 0.875
Ga 0.250 0.625 0.375
Ga 0.375 0.250 0.625
Ga 0.375 0.625 0.750
Ga 0.500 0.000 0.000
Ga 0.500 0.000 0.500
Ga 0.500 0.500 0.000
Ga 0.500 0.500 0.500
Ga 0.625 0.375 0.250
Ga 0.625 0.750 0.375
Ga 0.750 0.375 0.625
Ga 0.750 0.875 0.125
Ga 0.875 0.125 0.750
Ga 0.875 0.250 0.125
Sn 0.057 0.227 0.128
Sn 0.057 0.329 0.929
Sn 0.071 0.628 0.401
Sn 0.071 0.943 0.671
Sn 0.099 0.727 0.671
Sn 0.099 0.872 0.429
Sn 0.128 0.057 0.227
Sn 0.128 0.571 0.901
Sn 0.171 0.227 0.599
Sn 0.171 0.443 0.571
Sn 0.227 0.128 0.057
Sn 0.227 0.599 0.171
Sn 0.273 0.329 0.901
Sn 0.273 0.443 0.372
Sn 0.329 0.901 0.273
Sn 0.329 0.929 0.057
Sn 0.372 0.273 0.443
Sn 0.372 0.599 0.929
Sn 0.401 0.071 0.628
Sn 0.401 0.829 0.773
Sn 0.429 0.099 0.872
Sn 0.429 0.829 0.557
Sn 0.443 0.372 0.273
Sn 0.443 0.571 0.171
Sn 0.557 0.429 0.829
Sn 0.557 0.628 0.727
Sn 0.571 0.171 0.443
Sn 0.571 0.901 0.128
Sn 0.599 0.171 0.227
Sn 0.599 0.929 0.372
Sn 0.628 0.401 0.071
Sn 0.628 0.727 0.557
Sn 0.671 0.071 0.943
Sn 0.671 0.099 0.727
Sn 0.727 0.557 0.628
Sn 0.727 0.671 0.099
Sn 0.773 0.401 0.829
Sn 0.773 0.872 0.943
Sn 0.829 0.557 0.429
Sn 0.829 0.773 0.401
Sn 0.872 0.429 0.099
Sn 0.872 0.943 0.773
Sn 0.901 0.128 0.571
Sn 0.901 0.273 0.329
Sn 0.929 0.057 0.329
Sn 0.929 0.372 0.599
Sn 0.943 0.671 0.071
Sn 0.943 0.773 0.872
Hg 0.125 0.250 0.375
Hg 0.125 0.375 0.750
Hg 0.250 0.375 0.125
Hg 0.250 0.875 0.625
Hg 0.375 0.125 0.250
Hg 0.375 0.750 0.125
Hg 0.625 0.250 0.875
Hg 0.625 0.875 0.750
Hg 0.750 0.125 0.375
Hg 0.750 0.625 0.875
Hg 0.875 0.625 0.250
Hg 0.875 0.750 0.625